[1]
## Li6Hg2H (GGA-PBE)

Data for crystalline Li6Hg2H at its relaxed geometry.

Unit cell a=5.8224 b=5.8224 c=5.8224 alpha=120.56 beta=120.47 gamma=89.12
Positions (direct):
Li: 0.2418 0.2418 0.0000
Li: 0.2421 0.2425 0.4846
Li: 0.2421 0.7575 0.9996
Li: 0.7579 0.2425 0.0004
Li: 0.7579 0.7575 0.5154
Li: 0.7582 0.7582 0.0000
Hg: 0.2505 0.7505 0.5000
Hg: 0.7495 0.2495 0.5000
H: 0.0000 0.0000 0.0000

Summary:
V	138.5	Å³/cell
size of the total moment	0.000	μB per formula unit
VASP energy	-2.01	eV per atom
SG	No. 71

=====

[2]
## LiHg2H (GGA-PBE)

Data for crystalline LiHg2H at its relaxed geometry.

Unit cell a=4.6380 b=4.6380 c=4.6380 alpha=60.00 beta=60.00 gamma=60.00
Positions (direct):
Li: 0.0000 0.0000 0.0000
Hg: 0.2500 0.2500 0.2500
Hg: 0.7500 0.7500 0.7500
H: 0.5000 0.5000 0.5000

Summary:
E above lowest polymorph	15.3	kJ/mol of atoms
V	70.5	Å³/cell
size of the total moment	0.115	μB per formula unit
VASP energy	-1.23	eV per atom
SG	No. 225

=====

[3]
## LiHg6H2 (GGA-PBE)

Data for crystalline LiHg6H2 at its relaxed geometry.

Unit cell a=4.1825 b=6.0790 c=8.8495 alpha=93.53 beta=103.06 gamma=109.71
Positions (direct):
Li: 0.0000 0.0000 0.0000
Hg: 0.2382 0.6128 0.8757
Hg: 0.2605 0.1875 0.3306
Hg: 0.4825 0.2088 0.7689
Hg: 0.5175 0.7912 0.2311
Hg: 0.7395 0.8125 0.6694
Hg: 0.7618 0.3872 0.1243
H: 0.3924 0.2502 0.5478
H: 0.6076 0.7498 0.4522

Summary:
V	204.0	Å³/cell
size of the total moment	0.000	μB per formula unit
VASP energy	-1.08	eV per atom
SG	No. 2

=====

[4]
## Li2HgH6 (GGA-PBE)

Data for crystalline Li2HgH6 at its relaxed geometry.

Unit cell a=4.6600 b=4.6600 c=4.6600 alpha=60.00 beta=60.00 gamma=60.00
Positions (direct):
Li: 0.2500 0.2500 0.2500
Li: 0.7500 0.7500 0.7500
Hg: 0.0000 0.0000 0.0000
H: 0.2848 0.2848 0.7151
H: 0.2848 0.7151 0.2848
H: 0.2848 0.7151 0.7151
H: 0.7151 0.2848 0.2848
H: 0.7151 0.2848 0.7151
H: 0.7151 0.7151 0.2848

Summary:
V	71.6	Å³/cell
size of the total moment	0.000	μB per formula unit
VASP energy	-2.42	eV per atom
SG	No. 225

=====

[5]
## Li2HgH2 (GGA-PBE)

Data for crystalline Li2HgH2 at its relaxed geometry.

Unit cell a=5.8285 b=5.8285 c=5.8285 alpha=143.14 beta=143.14 gamma=53.12
Positions (direct):
Li: 0.2132 0.2132 0.0000
Li: 0.7868 0.7868 0.0000
Hg: 0.5000 0.5000 0.0000
H: 0.2500 0.7500 0.5000
H: 0.7500 0.2500 0.5000

Summary:
E above lowest polymorph	0.0	kJ/mol of atoms
V	70.8	Å³/cell
size of the total moment	0.000	μB per formula unit
VASP energy	-2.37	eV per atom
SG	No. 139

=====

[6]
## LiHg2H (GGA-PBE)

Data for crystalline LiHg2H at its relaxed geometry.

Unit cell a=5.7860 b=5.7860 c=5.7860 alpha=102.14 beta=102.14 gamma=125.41
Positions (direct):
Li: 0.0000 0.0000 0.0000
Li: 0.7500 0.2500 0.5000
Hg: 0.2030 0.1250 0.5780
Hg: 0.3750 0.7970 0.9220
Hg: 0.5470 0.6250 0.4220
Hg: 0.8750 0.4530 0.0780
H: 0.2500 0.7500 0.5000
H: 0.5000 0.5000 0.0000

Summary:
E above lowest polymorph	0.0	kJ/mol of atoms
V	140.3	Å³/cell
size of the total moment	0.000	μB per formula unit
VASP energy	-1.39	eV per atom
SG	No. 122